No. 1
{
  "formula": "SmAs2Au",
  "functional": "PBEsol",
  "state": "optimized geometry",
  "delta_e_f_ev_per_fu": -3.20,
  "energy_ev_per_atom": -5.6082,
  "lattice": [[20.1098, 0.0000, 0.0000], [0.0000, 4.0217, 0.0000], [0.0000, 0.0000, 4.0288]],
  "species": ["Sm", "Sm", "Sm", "Sm", "As", "As", "As", "As", "As", "As", "As", "As", "Au", "Au", "Au", "Au"],
  "frac_coords": [[0.1174, 0.2500, 0.2299], [0.3826, 0.7500, 0.7299], [0.6174, 0.2500, 0.2701], [0.8826, 0.7500, 0.7701], [0.0007, 0.2500, 0.7188], [0.1568, 0.7500, 0.7301], [0.3432, 0.2500, 0.2301], [0.4993, 0.7500, 0.2188], [0.5007, 0.2500, 0.7812], [0.6568, 0.7500, 0.7699], [0.8432, 0.2500, 0.2699], [0.9993, 0.7500, 0.2812], [0.2500, 0.2500, 0.7251], [0.2500, 0.7500, 0.2251], [0.7500, 0.2500, 0.7749], [0.7500, 0.7500, 0.2749]]
}



No. 2
{
  "formula": "CoOsAu",
  "functional": "PBEsol",
  "state": "optimized geometry",
  "de_polymorph_ev_per_atom": 0.000,
  "delta_e_f_ev_per_fu": 1.91,
  "energy_ev_per_atom": -7.3227,
  "lattice": [[4.2466, 0.0000, 0.0000], [-2.1233, 3.6777, 0.0000], [0.0000, 0.0000, 2.6604]],
  "species": ["Co", "Os", "Au"],
  "frac_coords": [[0.0000, 0.0000, 0.0000], [0.3333, 0.6667, 0.0000], [0.6667, 0.3333, 0.5000]]
}



No. 3
{
  "formula": "TiBe2Tc2",
  "functional": "PBEsol",
  "state": "optimized geometry",
  "delta_e_f_ev_per_fu": -2.13,
  "energy_ev_per_atom": -8.1961,
  "lattice": [[6.0592, 0.0000, 0.0000], [0.0000, 6.0592, 0.0000], [0.0000, 0.0000, 3.1328]],
  "species": ["Ti", "Ti", "Be", "Be", "Be", "Be", "Tc", "Tc", "Tc", "Tc"],
  "frac_coords": [[0.0000, 0.0000, 0.0000], [0.5000, 0.5000, 0.0000], [0.1170, 0.3830, 0.0000], [0.3830, 0.8830, 0.0000], [0.6170, 0.1170, 0.0000], [0.8830, 0.6170, 0.0000], [0.1762, 0.6762, 0.5000], [0.3238, 0.1762, 0.5000], [0.6762, 0.8238, 0.5000], [0.8238, 0.3238, 0.5000]]
}



No. 4
{
  "formula": "Tl2ZnOs",
  "functional": "PBEsol",
  "state": "optimized geometry",
  "de_polymorph_ev_per_atom": 0.250,
  "delta_e_f_ev_per_fu": 3.24,
  "energy_ev_per_atom": -3.9537,
  "lattice": [[3.0538, 0.0000, 0.0000], [0.0000, 3.0538, 0.0000], [0.0000, 0.0000, 8.3401]],
  "species": ["Tl", "Tl", "Zn", "Os"],
  "frac_coords": [[0.0000, 0.0000, 0.2310], [0.0000, 0.0000, 0.7690], [0.5000, 0.5000, 0.5000], [0.5000, 0.5000, 0.0000]]
}



No. 5
{
  "formula": "InFeOs2",
  "functional": "PBEsol",
  "state": "optimized geometry",
  "delta_e_f_ev_per_fu": 1.92,
  "energy_ev_per_atom": -8.6140,
  "lattice": [[2.7830, 0.0000, 0.0000], [0.0000, 4.1374, 0.0000], [-1.1954, 0.0000, 5.1720]],
  "species": ["In", "Fe", "Os", "Os"],
  "frac_coords": [[0.0000, 0.0000, 0.0000], [0.0000, 0.0000, 0.5000], [0.3723, 0.5000, 0.7214], [0.6277, 0.5000, 0.2786]]
}



No. 6
{
  "formula": "CaTi4O8",
  "functional": "PBEsol",
  "state": "optimized geometry",
  "e_form_raw_mev_per_atom": -2974,
  "de_polymorph_ev_per_atom": 0.024,
  "energy_ev_per_atom": -8.9290,
  "lattice": [[7.0937, -1.4905, 0.0000], [7.0937, 1.4905, 0.0000], [-6.4388, 0.0000, 7.1769]],
  "species": ["Ca", "Ti", "Ti", "Ti", "Ti", "O", "O", "O", "O", "O", "O", "O", "O"],
  "frac_coords": [[0.0000, 0.0000, 0.0000], [0.2496, 0.2496, 0.5801], [0.4491, 0.4491, 0.2977], [0.7588, 0.7588, 0.9309], [0.9609, 0.9609, 0.6381], [0.0705, 0.0705, 0.3771], [0.1424, 0.1424, 0.8527], [0.3996, 0.3996, 0.0431], [0.4495, 0.4495, 0.7792], [0.4688, 0.4688, 0.5121], [0.7617, 0.7617, 0.7303], [0.7767, 0.7767, 0.4740], [0.8251, 0.8251, 0.1820]]
}